i) ! PBE TiPdSCl2, optimized geometry; values from VASP
! space group: P4/mmm (123)
! N(E_F): 1.973 states/eV/atom
&SYSTEM
  ibrav = 0, nat = 5, ntyp = 4
/
ATOMIC_SPECIES
Ti 47.87 Ti.upf
Pd 106.42 Pd.upf
S 32.06 S.upf
Cl 35.45 Cl.upf
CELL_PARAMETERS angstrom
4.730 0.000 0.000
0.000 4.730 0.000
0.000 0.000 4.874
ATOMIC_POSITIONS angstrom
Ti 0.000 0.000 0.000
Pd 2.365 2.365 2.437
S 2.365 2.365 0.000
Cl 0.000 2.365 2.437
Cl 2.365 0.000 2.437



ii) ! PBE TiPdSCl2, optimized geometry; values from VASP
! space group: P4/mmm (123)
! N(E_F): 2.290 states/eV/atom
&SYSTEM
  ibrav = 0, nat = 5, ntyp = 4
/
ATOMIC_SPECIES
Ti 47.87 Ti.upf
Pd 106.42 Pd.upf
S 32.06 S.upf
Cl 35.45 Cl.upf
CELL_PARAMETERS angstrom
4.761 0.000 0.000
0.000 4.761 0.000
0.000 0.000 4.714
ATOMIC_POSITIONS angstrom
Ti 0.000 0.000 0.000
Pd 2.380 2.380 2.357
S 0.000 0.000 2.357
Cl 0.000 2.380 0.000
Cl 2.380 0.000 0.000



Stability summary - winner: ii); margin: 610 meV per atom.



i) ! PBE YPdS2Cl, optimized geometry; values from VASP
! space group: P4/mmm (123)
! N(E_F): 0.361 states/eV/atom
&SYSTEM
  ibrav = 0, nat = 5, ntyp = 4
/
ATOMIC_SPECIES
Y 88.91 Y.upf
Pd 106.42 Pd.upf
S 32.06 S.upf
Cl 35.45 Cl.upf
CELL_PARAMETERS angstrom
4.793 0.000 0.000
0.000 4.793 0.000
0.000 0.000 4.625
ATOMIC_POSITIONS angstrom
Y 0.000 0.000 0.000
Pd 2.396 2.396 2.313
S 0.000 2.396 2.313
S 2.396 0.000 2.313
Cl 2.396 2.396 0.000



ii) ! PBE YPdS2Cl, optimized geometry; values from VASP
! space group: P4/mmm (123)
! N(E_F): 1.185 states/eV/atom
&SYSTEM
  ibrav = 0, nat = 5, ntyp = 4
/
ATOMIC_SPECIES
Y 88.91 Y.upf
Pd 106.42 Pd.upf
S 32.06 S.upf
Cl 35.45 Cl.upf
CELL_PARAMETERS angstrom
5.280 0.000 0.000
0.000 5.280 0.000
0.000 0.000 5.152
ATOMIC_POSITIONS angstrom
Y 0.000 0.000 0.000
Pd 2.640 2.640 2.576
S 0.000 2.640 0.000
S 2.640 0.000 0.000
Cl 0.000 0.000 2.576



Stability summary - winner: i); margin: 317 meV per atom.



i) ! PBE ZrPdSCl2, optimized geometry; values from VASP
! space group: P4/mmm (123)
! N(E_F): 1.086 states/eV/atom
&SYSTEM
  ibrav = 0, nat = 5, ntyp = 4
/
ATOMIC_SPECIES
Zr 91.22 Zr.upf
Pd 106.42 Pd.upf
S 32.06 S.upf
Cl 35.45 Cl.upf
CELL_PARAMETERS angstrom
4.699 0.000 0.000
0.000 4.699 0.000
0.000 0.000 4.914
ATOMIC_POSITIONS angstrom
Zr 0.000 0.000 0.000
Pd 2.350 2.350 2.457
S 2.350 2.350 0.000
Cl 0.000 2.350 2.457
Cl 2.350 0.000 2.457



ii) ! PBE ZrPdSCl2, optimized geometry; values from VASP
! space group: P4/mmm (123)
! N(E_F): 1.709 states/eV/atom
&SYSTEM
  ibrav = 0, nat = 5, ntyp = 4
/
ATOMIC_SPECIES
Zr 91.22 Zr.upf
Pd 106.42 Pd.upf
S 32.06 S.upf
Cl 35.45 Cl.upf
CELL_PARAMETERS angstrom
5.028 0.000 0.000
0.000 5.028 0.000
0.000 0.000 4.950
ATOMIC_POSITIONS angstrom
Zr 0.000 0.000 0.000
Pd 2.514 2.514 2.475
S 0.000 0.000 2.475
Cl 0.000 2.514 0.000
Cl 2.514 0.000 0.000



Stability summary - winner: ii); margin: 579 meV per atom.



i) ! PBE SbPd3Cl, optimized geometry; values from VASP
! space group: Pm-3m (221)
! N(E_F): 0.640 states/eV/atom
&SYSTEM
  ibrav = 0, nat = 5, ntyp = 3
/
ATOMIC_SPECIES
Sb 121.76 Sb.upf
Pd 106.42 Pd.upf
Cl 35.45 Cl.upf
CELL_PARAMETERS angstrom
4.656 0.000 0.000
0.000 4.656 0.000
0.000 0.000 4.656
ATOMIC_POSITIONS angstrom
Sb 0.000 0.000 0.000
Pd 0.000 2.328 2.328
Pd 2.328 0.000 2.328
Pd 2.328 2.328 0.000
Cl 2.328 2.328 2.328



ii) ! PBE SbPd3Cl, optimized geometry; values from VASP
! space group: Pm-3m (221)
! N(E_F): 0.711 states/eV/atom
&SYSTEM
  ibrav = 0, nat = 5, ntyp = 3
/
ATOMIC_SPECIES
Sb 121.76 Sb.upf
Pd 106.42 Pd.upf
Cl 35.45 Cl.upf
CELL_PARAMETERS angstrom
5.001 0.000 0.000
0.000 5.001 0.000
0.000 0.000 5.001
ATOMIC_POSITIONS angstrom
Sb 0.000 0.000 0.000
Pd 0.000 0.000 2.501
Pd 0.000 2.501 0.000
Pd 2.501 0.000 0.000
Cl 2.501 2.501 2.501



Stability summary - winner: i); margin: 80 meV per atom.



i) ! PBE Sb2TePdCl, optimized geometry; values from VASP
! space group: P4/mmm (123)
! N(E_F): 1.098 states/eV/atom
&SYSTEM
  ibrav = 0, nat = 5, ntyp = 4
/
ATOMIC_SPECIES
Sb 121.76 Sb.upf
Te 127.60 Te.upf
Pd 106.42 Pd.upf
Cl 35.45 Cl.upf
CELL_PARAMETERS angstrom
5.211 0.000 0.000
0.000 5.211 0.000
0.000 0.000 5.450
ATOMIC_POSITIONS angstrom
Sb 0.000 2.606 0.000
Sb 2.606 0.000 0.000
Te 0.000 0.000 2.725
Pd 2.606 2.606 2.725
Cl 0.000 0.000 0.000



ii) ! PBE Sb2TePdCl, optimized geometry; values from VASP
! space group: P4/mmm (123)
! N(E_F): 1.702 states/eV/atom
&SYSTEM
  ibrav = 0, nat = 5, ntyp = 4
/
ATOMIC_SPECIES
Sb 121.76 Sb.upf
Te 127.60 Te.upf
Pd 106.42 Pd.upf
Cl 35.45 Cl.upf
CELL_PARAMETERS angstrom
5.290 0.000 0.000
0.000 5.290 0.000
0.000 0.000 5.275
ATOMIC_POSITIONS angstrom
Sb 0.000 2.645 0.000
Sb 2.645 0.000 0.000
Te 0.000 0.000 2.638
Pd 0.000 0.000 0.000
Cl 2.645 2.645 2.638



Stability summary - winner: ii); margin: 660 meV per atom.



i) ! PBE ScPd2Cl, optimized geometry; values from VASP
! space group: I-42d (122)
! N(E_F): 0.364 states/eV/atom
&SYSTEM
  ibrav = 0, nat = 8, ntyp = 3
/
ATOMIC_SPECIES
Sc 44.96 Sc.upf
Pd 106.42 Pd.upf
Cl 35.45 Cl.upf
CELL_PARAMETERS angstrom
-3.750 3.750 2.664
3.750 -3.750 2.664
3.750 3.750 -2.664
ATOMIC_POSITIONS angstrom
Sc 0.000 0.000 0.000
Sc 0.000 3.750 1.332
Pd 5.625 1.865 -0.666
Pd 1.865 1.875 0.666
Pd -1.875 1.886 1.998
Pd 1.886 1.875 3.331
Cl 3.750 0.000 1.332
Cl 0.000 0.000 2.664



ii) ! PBE ScPd2Cl, optimized geometry; values from VASP
! space group: Fm-3m (225)
! N(E_F): 0.684 states/eV/atom
&SYSTEM
  ibrav = 0, nat = 4, ntyp = 3
/
ATOMIC_SPECIES
Sc 44.96 Sc.upf
Pd 106.42 Pd.upf
Cl 35.45 Cl.upf
CELL_PARAMETERS angstrom
0.000 3.287 3.287
3.287 0.000 3.287
3.287 3.287 0.000
ATOMIC_POSITIONS angstrom
Sc 0.000 0.000 0.000
Pd 1.644 1.644 1.644
Pd 4.931 4.931 4.931
Cl 3.287 3.287 3.287



Stability summary - winner: i); margin: 123 meV per atom.



i) ! PBE Pd2SeCl3, optimized geometry; values from VASP
! space group: C2/m (12)
! N(E_F): 0.033 states/eV/atom
&SYSTEM
  ibrav = 0, nat = 12, ntyp = 3
/
ATOMIC_SPECIES
Pd 106.42 Pd.upf
Se 78.96 Se.upf
Cl 35.45 Cl.upf
CELL_PARAMETERS angstrom
9.496 -1.786 0.000
9.496 1.786 0.000
-1.827 0.000 9.019
ATOMIC_POSITIONS angstrom
Pd 1.309 0.000 0.869
Pd 5.442 0.000 4.957
Pd 11.723 0.000 4.062
Pd 15.856 0.000 8.150
Se 7.154 0.000 6.732
Se 10.012 0.000 2.286
Cl 0.917 0.000 5.108
Cl 3.719 0.000 3.046
Cl 7.299 0.000 0.507
Cl 9.866 0.000 8.511
Cl 13.446 0.000 5.973
Cl 16.248 0.000 3.911



ii) ! PBE Pd2SeCl3, optimized geometry; values from VASP
! space group: P-3m1 (164)
! N(E_F): 0.462 states/eV/atom
&SYSTEM
  ibrav = 0, nat = 12, ntyp = 3
/
ATOMIC_SPECIES
Pd 106.42 Pd.upf
Se 78.96 Se.upf
Cl 35.45 Cl.upf
CELL_PARAMETERS angstrom
7.438 0.000 0.000
-3.719 6.442 0.000
0.000 0.000 5.966
ATOMIC_POSITIONS angstrom
Pd 0.000 0.000 0.000
Pd -1.860 3.221 0.000
Pd 3.719 0.000 0.000
Pd 1.860 3.221 0.000
Se 0.000 4.295 4.686
Se 3.719 2.147 1.281
Cl 0.000 2.117 1.385
Cl -1.886 5.383 1.385
Cl 1.833 1.059 4.581
Cl 1.886 5.383 1.385
Cl 5.605 1.059 4.581
Cl 3.719 4.325 4.581



Stability summary - winner: i); margin: 138 meV per atom.



i) ! PBE Pd3SeCl, optimized geometry; values from VASP
! space group: Pm-3m (221)
! N(E_F): 0.845 states/eV/atom
&SYSTEM
  ibrav = 0, nat = 5, ntyp = 3
/
ATOMIC_SPECIES
Pd 106.42 Pd.upf
Se 78.96 Se.upf
Cl 35.45 Cl.upf
CELL_PARAMETERS angstrom
4.760 0.000 0.000
0.000 4.760 0.000
0.000 0.000 4.760
ATOMIC_POSITIONS angstrom
Pd 0.000 0.000 2.380
Pd 0.000 2.380 0.000
Pd 2.380 0.000 0.000
Se 0.000 0.000 0.000
Cl 2.380 2.380 2.380



ii) ! PBE Pd3SeCl, optimized geometry; values from VASP
! space group: Pm-3m (221)
! N(E_F): 0.826 states/eV/atom
&SYSTEM
  ibrav = 0, nat = 5, ntyp = 3
/
ATOMIC_SPECIES
Pd 106.42 Pd.upf
Se 78.96 Se.upf
Cl 35.45 Cl.upf
CELL_PARAMETERS angstrom
4.602 0.000 0.000
0.000 4.602 0.000
0.000 0.000 4.602
ATOMIC_POSITIONS angstrom
Pd 0.000 0.000 2.301
Pd 0.000 2.301 0.000
Pd 2.301 0.000 0.000
Se 2.301 2.301 2.301
Cl 0.000 0.000 0.000



Stability summary - winner: i); margin: 257 meV per atom.



i) ! PBE PdSe2Cl2, optimized geometry; values from VASP
! space group: P4/mbm (127)
! N(E_F): 0.974 states/eV/atom
&SYSTEM
  ibrav = 0, nat = 10, ntyp = 3
/
ATOMIC_SPECIES
Pd 106.42 Pd.upf
Se 78.96 Se.upf
Cl 35.45 Cl.upf
CELL_PARAMETERS angstrom
6.443 0.000 0.000
0.000 6.443 0.000
0.000 0.000 6.540
ATOMIC_POSITIONS angstrom
Pd 0.000 0.000 0.000
Pd 3.221 3.221 0.000
Se 0.775 2.447 3.270
Se 2.447 5.668 3.270
Se 3.996 0.775 3.270
Se 5.668 3.996 3.270
Cl 1.147 2.075 0.000
Cl 2.075 5.296 0.000
Cl 4.368 1.147 0.000
Cl 5.296 4.368 0.000



ii) ! PBE PdSe2Cl2, optimized geometry; values from VASP
! space group: P-1 (2)
! N(E_F): 0.061 states/eV/atom
&SYSTEM
  ibrav = 0, nat = 5, ntyp = 3
/
ATOMIC_SPECIES
Pd 106.42 Pd.upf
Se 78.96 Se.upf
Cl 35.45 Cl.upf
CELL_PARAMETERS angstrom
3.841 0.000 0.000
0.000 4.634 0.000
1.905 1.492 7.220
ATOMIC_POSITIONS angstrom
Pd 0.000 0.000 0.000
Se 1.920 1.474 0.836
Se 3.825 4.651 6.384
Cl 1.902 2.349 5.044
Cl 3.843 3.776 2.176



Stability summary - winner: ii); margin: 358 meV per atom.



i) ! PBE PdSeCl3, optimized geometry; values from VASP
! space group: C2/c (15)
! N(E_F): 0.258 states/eV/atom
&SYSTEM
  ibrav = 0, nat = 20, ntyp = 3
/
ATOMIC_SPECIES
Pd 106.42 Pd.upf
Se 78.96 Se.upf
Cl 35.45 Cl.upf
CELL_PARAMETERS angstrom
3.644 -6.792 0.000
3.644 6.792 0.000
-0.495 0.000 11.898
ATOMIC_POSITIONS angstrom
Pd 2.728 5.585 10.553
Pd 3.817 5.585 7.294
Pd 2.976 -5.585 4.604
Pd 4.065 -5.585 1.345
Se 3.190 3.087 7.838
Se 3.356 3.087 10.008
Se 3.437 -3.087 1.889
Se 3.603 -3.087 4.060
Cl 2.781 5.312 5.218
Cl 1.406 0.758 3.464
Cl 4.259 5.312 0.730
Cl 2.490 1.630 0.449
Cl 1.158 -0.758 9.413
Cl 2.243 -1.630 6.398
Cl 4.550 1.630 5.499
Cl 5.635 0.758 2.485
Cl 4.303 -1.630 11.448
Cl 2.534 -5.312 11.167
Cl 5.387 -0.758 8.433
Cl 4.012 -5.312 6.679



ii) ! PBE PdSeCl3, optimized geometry; values from VASP
! space group: P2/c (13)
! N(E_F): 0.051 states/eV/atom
&SYSTEM
  ibrav = 0, nat = 20, ntyp = 3
/
ATOMIC_SPECIES
Pd 106.42 Pd.upf
Se 78.96 Se.upf
Cl 35.45 Cl.upf
CELL_PARAMETERS angstrom
6.834 0.000 0.000
0.000 7.887 0.000
-0.384 0.000 12.303
ATOMIC_POSITIONS angstrom
Pd 0.341 1.114 1.414
Pd 0.149 6.773 7.566
Pd 6.301 1.114 4.738
Pd 6.109 6.773 10.889
Se 0.163 3.501 4.138
Se -0.028 4.386 10.289
Se 6.478 3.501 2.014
Se 6.287 4.386 8.166
Cl 0.641 1.397 6.728
Cl 0.833 6.490 0.576
Cl 1.438 0.518 3.464
Cl 1.246 7.369 9.616
Cl 2.231 1.956 0.423
Cl 2.039 5.931 6.575
Cl 4.411 1.956 5.729
Cl 4.219 5.931 11.880
Cl 5.204 0.518 2.687
Cl 5.012 7.369 8.839
Cl 5.617 1.397 11.727
Cl 5.808 6.490 5.576



iii) ! PBE PdSeCl3, optimized geometry; values from VASP
! space group: Pm-3m (221)
! N(E_F): 0.363 states/eV/atom
&SYSTEM
  ibrav = 0, nat = 5, ntyp = 3
/
ATOMIC_SPECIES
Pd 106.42 Pd.upf
Se 78.96 Se.upf
Cl 35.45 Cl.upf
CELL_PARAMETERS angstrom
4.922 0.000 0.000
0.000 4.922 0.000
0.000 0.000 4.922
ATOMIC_POSITIONS angstrom
Pd 0.000 0.000 0.000
Se 2.461 2.461 2.461
Cl 0.000 0.000 2.461
Cl 0.000 2.461 0.000
Cl 2.461 0.000 0.000



Stability summary - winner: i); margin: 9 meV per atom.



i) ! PBE Si3PdCl, optimized geometry; values from VASP
! space group: Pm-3m (221)
! N(E_F): 0.669 states/eV/atom
&SYSTEM
  ibrav = 0, nat = 5, ntyp = 3
/
ATOMIC_SPECIES
Si 28.09 Si.upf
Pd 106.42 Pd.upf
Cl 35.45 Cl.upf
CELL_PARAMETERS angstrom
4.764 0.000 0.000
0.000 4.764 0.000
0.000 0.000 4.764
ATOMIC_POSITIONS angstrom
Si 0.000 0.000 2.382
Si 0.000 2.382 0.000
Si 2.382 0.000 0.000
Pd 0.000 0.000 0.000
Cl 2.382 2.382 2.382



ii) ! PBE Si3PdCl, optimized geometry; values from VASP
! space group: Pm-3m (221)
! N(E_F): 0.629 states/eV/atom
&SYSTEM
  ibrav = 0, nat = 5, ntyp = 3
/
ATOMIC_SPECIES
Si 28.09 Si.upf
Pd 106.42 Pd.upf
Cl 35.45 Cl.upf
CELL_PARAMETERS angstrom
4.608 0.000 0.000
0.000 4.608 0.000
0.000 0.000 4.608
ATOMIC_POSITIONS angstrom
Si 0.000 0.000 2.304
Si 0.000 2.304 0.000
Si 2.304 0.000 0.000
Pd 2.304 2.304 2.304
Cl 0.000 0.000 0.000



Stability summary - winner: i); margin: 642 meV per atom.



i) ! PBE SiPdCl2, optimized geometry; values from VASP
! space group: I-42d (122)
! N(E_F): 0.000 states/eV/atom
&SYSTEM
  ibrav = 0, nat = 8, ntyp = 3
/
ATOMIC_SPECIES
Si 28.09 Si.upf
Pd 106.42 Pd.upf
Cl 35.45 Cl.upf
CELL_PARAMETERS angstrom
-2.266 2.266 8.078
2.266 -2.266 8.078
2.266 2.266 -8.078
ATOMIC_POSITIONS angstrom
Si 0.000 0.000 0.000
Si 0.000 2.266 4.039
Pd 2.266 0.000 4.039
Pd 0.000 0.000 8.078
Cl 1.133 -1.125 6.059
Cl 1.141 1.133 2.020
Cl 1.133 3.391 -2.020
Cl 1.125 1.133 10.098



ii) ! PBE SiPdCl2, optimized geometry; values from VASP
! space group: R-3m (166)
! N(E_F): 0.033 states/eV/atom
&SYSTEM
  ibrav = 0, nat = 4, ntyp = 3
/
ATOMIC_SPECIES
Si 28.09 Si.upf
Pd 106.42 Pd.upf
Cl 35.45 Cl.upf
CELL_PARAMETERS angstrom
1.660 0.958 8.473
-1.660 0.958 8.473
0.000 -1.916 8.473
ATOMIC_POSITIONS angstrom
Si 0.000 0.000 0.000
Pd 0.000 0.000 12.709
Cl 0.000 0.000 10.373
Cl 0.000 0.000 15.046



iii) ! PBE SiPdCl2, optimized geometry; values from VASP
! space group: R-3m (166)
! N(E_F): 0.574 states/eV/atom
&SYSTEM
  ibrav = 0, nat = 4, ntyp = 3
/
ATOMIC_SPECIES
Si 28.09 Si.upf
Pd 106.42 Pd.upf
Cl 35.45 Cl.upf
CELL_PARAMETERS angstrom
1.644 0.949 8.371
-1.644 0.949 8.371
0.000 -1.898 8.371
ATOMIC_POSITIONS angstrom
Si 0.000 0.000 0.000
Pd 0.000 0.000 12.557
Cl 0.000 0.000 2.311
Cl 0.000 0.000 22.803



Stability summary - winner: ii); margin: 18 meV per atom.